(1)
VASP calculation (PBE) on Y4TlAgO after structural relaxation.

The structure belongs to space group Cmcm (No. 63); the cell edges are 6.690, 15.369 and 6.691 Å and the angles 90.00°, 90.00° and 90.00°. The distinct sites, in fractional coordinates, are Y at (0.000, 0.066, 0.250), Y at (0.000, 0.420, 0.250), Y at (0.250, 0.250, 0.000), Tl at (0.000, 0.384, 0.750), Ag at (0.000, 0.121, 0.750) and O at (0.000, 0.256, 0.250).

For the total moment, the calculation gives 0.00 μB/atom. The raw total energy comes out at -6.147 eV per atom. Its density of states at the Fermi level is 0.3482 states/eV/atom.

---

(2)
VASP calculation (PBE) on CaHgSe2N after structural relaxation.

The structure belongs to space group P4/mmm (No. 123); the cell edges are 5.537, 5.537 and 4.367 Å and the angles 90.00°, 90.00° and 90.00°. The distinct sites, in fractional coordinates, are Ca at (0.000, 0.000, 0.000), Hg at (0.500, 0.500, 0.500), Se at (0.000, 0.500, 0.000) and N at (0.000, 0.000, 0.500).

The polymorph energy (0 for the lowest one) comes out at 0.325 eV per atom. For the total moment, the calculation gives 0.52 μB/atom. The raw total energy comes out at -2.905 eV per atom. Its density of states at the Fermi level is 1.2495 states/eV/atom.

---

> Look up the total moment of the first one.

0.00 μB/atom

---

> What is the raw total energy in the first record?

-6.147 eV per atom